[1]
VASP calculation (PBE) on a geometry-optimized RbCrCl2 structure.

**Calculated total energy**: -4.55 eV per atom
**Density of states at the Fermi level**: 0.00 states/eV/atom
**M_tot**: 1.250 μB per atom
**Density**: 2.01 Mg/m³

The structure in POSCAR format:
```
RbCrCl2
1.0
0.792 -2.639 7.951
2.060 -6.472 4.969
5.353 -2.791 5.862
Cl Cr Rb
2 1 1
Cartesian
7.405 -10.741 16.950
0.801 -1.161 1.833
0.000 0.000 0.000
4.103 -5.951 9.391
```


[2]
VASP calculation (PBE) on a geometry-optimized RbCrCl4 structure.

**Calculated total energy**: -4.17 eV per atom
**Density of states at the Fermi level**: 1.52 states/eV/atom
**M_tot**: 0.500 μB per atom
**Density**: 2.38 Mg/m³

The structure in POSCAR format:
```
RbCrCl4
1.0
-2.363 -2.946 -5.421
2.473 -2.565 -3.710
-0.976 -8.160 0.834
Cl Cr Rb
4 1 1
Cartesian
-0.015 -5.692 -2.939
-1.032 -11.403 -7.444
-0.851 -7.979 -5.357
0.166 -2.268 -0.852
-0.488 -4.080 0.417
0.055 -2.755 -4.565
```


[3]
VASP calculation (PBE) on a geometry-optimized RbCr3Cl structure.

**Calculated total energy**: -5.14 eV per atom
**Density of states at the Fermi level**: 0.42 states/eV/atom
**M_tot**: 2.827 μB per atom
**Density**: 3.21 Mg/m³

The structure in POSCAR format:
```
RbCr3Cl
1.0
5.232 0.000 0.000
0.000 5.232 0.000
0.000 0.000 5.232
Cl Rb Cr
1 1 3
Cartesian
0.000 0.000 0.000
2.616 2.616 2.616
0.000 2.616 0.000
2.616 0.000 0.000
0.000 0.000 2.616
```


[4]
VASP calculation (PBE) on a geometry-optimized RbCrRhCl6 structure.

**Calculated total energy**: -4.27 eV per atom
**Density of states at the Fermi level**: 0.01 states/eV/atom
**M_tot**: 0.444 μB per atom
**Density**: 2.92 Mg/m³

The structure in POSCAR format:
```
RbCrRhCl6
1.0
-6.188 -0.957 -0.084
-2.211 -4.529 -3.723
0.821 -5.004 5.439
Cl Rb Rh Cr
6 1 1 1
Cartesian
-5.928 -6.520 -2.019
-6.676 -4.286 0.354
-4.178 -5.693 2.275
-3.931 -8.184 -0.094
-6.870 -7.376 1.279
-3.424 -4.812 -0.652
-0.091 -0.061 -0.039
-2.405 -4.340 1.445
-5.206 -6.171 0.173
```